LaScZnCd: optimized geometry, PBE.

As for the calculated volume: 96 Å³/f.u. As for the total DFT energy (no corrections): -14.69 eV/f.u.

The space group is P4mm (No. 99) and the conventional cell measures 3.542, 3.542 and 7.684 Å, with angles of 90.00, 90.00 and 90.00 degrees. The distinct sites, in fractional coordinates, are La at (0.000, 0.000, 0.000), Sc at (0.000, 0.000, 0.540), Zn at (0.500, 0.500, 0.726) and Cd at (0.500, 0.500, 0.309).


BaLaTc3: optimized geometry, PBE.

As for the calculated volume: 134 Å³/f.u. The calculation puts the offset from the most stable computed form at 518.6 meV/atom. As for the total DFT energy (no corrections): -27.09 eV/f.u.

The space group is Pm-3m (No. 221) and the conventional cell measures 5.111, 5.111 and 5.111 Å, with angles of 90.00, 90.00 and 90.00 degrees. The distinct sites, in fractional coordinates, are Ba at (0.000, 0.000, 0.000), La at (0.500, 0.500, 0.500) and Tc at (0.000, 0.000, 0.500).


Mn2ZnIn2: optimized geometry, PBE.

As for the calculated volume: 89 Å³/f.u. As for the total DFT energy (no corrections): -24.00 eV/f.u.

The space group is P4/mbm (No. 127) and the conventional cell measures 6.560, 6.560 and 4.125 Å, with angles of 90.00, 90.00 and 90.00 degrees. The distinct sites, in fractional coordinates, are Mn at (0.141, 0.359, 0.000), Zn at (0.000, 0.000, 0.000) and In at (0.164, 0.664, 0.500).


| no. | energy of formation (eV per formula unit) |
| --- | --- |
| 1 | -1.2 |
| 2 | 10.9 |
| 3 | 1.1 |